Below is a geometry-optimized ZrReHRh2 structure, with properties calculated at the GGA-PBE level.

Cell lengths 3.9630, 3.9630, 4.1725 Å; angles 90.00, 90.00, 90.00 degrees
Fractional coordinates of all 5 atoms:
Zr1 0.0000 0.0000 0.0000
Re1 0.5000 0.5000 0.0000
H1 0.0000 0.0000 0.5000
Rh1 0.0000 0.5000 0.5000
Rh2 0.5000 0.0000 0.5000

Computed properties:
Energy above the most stable polymorph in this dataset (meV per atom): 15

Below is a geometry-optimized PrDy2Ga9 structure, with properties calculated at the GGA-PBE level.

Cell lengths 4.3203, 4.3203, 12.9532 Å; angles 90.00, 90.00, 90.00 degrees
Fractional coordinates of all 12 atoms:
Pr1 0.0000 0.0000 0.0000
Dy1 0.0000 0.0000 0.3368
Dy2 0.0000 0.0000 0.6632
Ga1 0.0000 0.5000 0.1729
Ga2 0.0000 0.5000 0.5000
Ga3 0.0000 0.5000 0.8271
Ga4 0.5000 0.0000 0.1729
Ga5 0.5000 0.0000 0.5000
Ga6 0.5000 0.0000 0.8271
Ga7 0.5000 0.5000 0.0000
Ga8 0.5000 0.5000 0.3340
Ga9 0.5000 0.5000 0.6660

Computed properties:
ΔH_f (0 K) (eV/atom): -0.52

Below is a geometry-optimized CsBiI structure, with properties calculated at the GGA-PBE level.

Cell lengths 11.6200, 11.6200, 11.6200 Å; angles 154.24, 150.63, 39.46 degrees
Fractional coordinates of all 6 atoms:
Cs1 0.1570 0.1570 0.0000
Cs2 0.8430 0.8430 0.0000
Bi1 0.2343 0.5000 0.7343
Bi2 0.7657 0.5000 0.2657
I1 0.3358 0.3358 0.0000
I2 0.6642 0.6642 0.0000

Computed properties:
Uncorrected formation energy (meV/atom): -668
Energy above the most stable polymorph in this dataset (meV per atom): 118

Below is a geometry-optimized Cd5Pt6 structure, with properties calculated at the GGA-PBE level.

Cell lengths 6.4476, 6.4476, 8.0119 Å; angles 90.00, 90.00, 142.80 degrees
Fractional coordinates of all 11 atoms:
Cd1 0.0000 0.0000 0.0000
Cd2 0.3315 0.6685 0.0000
Cd3 0.3479 0.6521 0.5000
Cd4 0.6521 0.3479 0.5000
Cd5 0.6685 0.3315 0.0000
Pt1 0.1654 0.8346 0.2561
Pt2 0.1654 0.8346 0.7439
Pt3 0.5000 0.5000 0.2448
Pt4 0.5000 0.5000 0.7552
Pt5 0.8346 0.1654 0.2561
Pt6 0.8346 0.1654 0.7439

Computed properties:
ΔH_f (0 K) (eV/atom): -0.21

Below is a geometry-optimized LiLa2Tb structure, with properties calculated at the GGA-PBE level.

Cell lengths 3.7009, 3.7009, 9.3780 Å; angles 90.00, 90.00, 90.00 degrees
Fractional coordinates of all 4 atoms:
Li1 0.0000 0.0000 0.0000
La1 0.5000 0.5000 0.2331
La2 0.5000 0.5000 0.7669
Tb1 0.0000 0.0000 0.5000

Computed properties:
ΔH_f (0 K) (eV/atom): 0.07
Energy above the most stable polymorph in this dataset (meV per atom): 2

Below is a geometry-optimized Sr2Ac2Tl7 structure, with properties calculated at the GGA-PBE level.

Cell lengths 8.4367, 8.4367, 6.3882 Å; angles 90.00, 90.00, 95.29 degrees
Fractional coordinates of all 11 atoms:
Sr1 0.1928 0.1928 0.0000
Sr2 0.8072 0.8072 0.0000
Ac1 0.2679 0.7321 0.5000
Ac2 0.7321 0.2679 0.5000
Tl1 0.0000 0.0000 0.5000
Tl2 0.0000 0.5000 0.2358
Tl3 0.0000 0.5000 0.7642
Tl4 0.5000 0.0000 0.2358
Tl5 0.5000 0.0000 0.7642
Tl6 0.5000 0.5000 0.2303
Tl7 0.5000 0.5000 0.7697

Computed properties:
ΔH_f (0 K) (eV/atom): 0.01

Below is a geometry-optimized Ta2BeCdRu structure, with properties calculated at the GGA-PBE level.

Cell lengths 4.8338, 4.8338, 4.2316 Å; angles 90.00, 90.00, 90.00 degrees
Fractional coordinates of all 5 atoms:
Ta1 0.0000 0.5000 0.0000
Ta2 0.5000 0.0000 0.0000
Be1 0.0000 0.0000 0.5000
Cd1 0.5000 0.5000 0.5000
Ru1 0.0000 0.0000 0.0000

Computed properties:
ΔH_f (0 K) (eV/atom): 0.88

Below is a geometry-optimized ZrScTa2N4 structure, with properties calculated at the GGA-PBE level.

Cell lengths 5.4866, 3.1607, 5.4973 Å; angles 90.00, 109.36, 90.00 degrees
Fractional coordinates of all 8 atoms:
Zr1 0.0000 0.0000 0.0000
Sc1 0.5000 0.5000 0.0000
Ta1 0.0000 0.5000 0.5000
Ta2 0.5000 0.0000 0.5000
N1 0.2526 0.0000 0.7417
N2 0.2592 0.5000 0.2617
N3 0.7408 0.5000 0.7383
N4 0.7474 0.0000 0.2583

Computed properties:
Uncorrected formation energy (meV/atom): -1417

Below is a geometry-optimized Ca2NdUAs4 structure, with properties calculated at the GGA-PBE level.

Cell lengths 7.2691, 4.2356, 7.3067 Å; angles 90.00, 109.41, 90.00 degrees
Fractional coordinates of all 8 atoms:
Ca1 0.0000 0.0000 0.0000
Ca2 0.0000 0.5000 0.5000
Nd1 0.5000 0.0000 0.5000
U1 0.5000 0.5000 0.0000
As1 0.2641 0.5000 0.2375
As2 0.2695 0.0000 0.7692
As3 0.7305 0.0000 0.2308
As4 0.7359 0.5000 0.7625

Computed properties:
ΔH_f (0 K) (eV/atom): -1.14

Below is a geometry-optimized Pr4Ho2TmSc structure, with properties calculated at the GGA-PBE level.

Cell lengths 5.1378, 5.1378, 9.8361 Å; angles 90.00, 90.00, 90.00 degrees
Fractional coordinates of all 8 atoms:
Pr1 0.0000 0.5000 0.2458
Pr2 0.0000 0.5000 0.7542
Pr3 0.5000 0.0000 0.2458
Pr4 0.5000 0.0000 0.7542
Ho1 0.0000 0.0000 0.0000
Ho2 0.5000 0.5000 0.5000
Tm1 0.0000 0.0000 0.5000
Sc1 0.5000 0.5000 0.0000

Computed properties:
ΔH_f (0 K) (eV/atom): 0.03

Below is a geometry-optimized HfZrZnW structure, with properties calculated at the GGA-PBE level.

Cell lengths 4.7299, 4.7299, 4.7299 Å; angles 60.00, 60.00, 60.00 degrees
Fractional coordinates of all 4 atoms:
Hf1 0.0000 0.0000 0.0000
Zr1 0.5000 0.5000 0.5000
Zn1 0.2500 0.2500 0.2500
W1 0.7500 0.7500 0.7500

Computed properties:
ΔH_f (0 K) (eV/atom): -0.02

Below is a geometry-optimized RbSc2TiCl8 structure, with properties calculated at the GGA-PBE level.

Cell lengths 10.1271, 10.1271, 10.1271 Å; angles 37.89, 37.89, 37.89 degrees
Fractional coordinates of all 12 atoms:
Rb1 0.0000 0.0000 0.0000
Sc1 0.2350 0.2350 0.2350
Sc2 0.7650 0.7650 0.7650
Ti1 0.5000 0.5000 0.5000
Cl1 0.1441 0.4216 0.7784
Cl2 0.2216 0.8559 0.5784
Cl3 0.3188 0.3188 0.3188
Cl4 0.4216 0.7784 0.1441
Cl5 0.5784 0.2216 0.8559
Cl6 0.6812 0.6812 0.6812
Cl7 0.7784 0.1441 0.4216
Cl8 0.8559 0.5784 0.2216

Computed properties:
Uncorrected formation energy (meV/atom): -1754

Below is a geometry-optimized Cs2ErInCl6 structure, with properties calculated at the GGA-PBE level.

Cell lengths 7.9085, 8.1324, 13.8007 Å; angles 90.00, 124.92, 90.00 degrees
Fractional coordinates of all 20 atoms:
Cs1 0.2369 0.0520 0.2503
Cs2 0.2369 0.4480 0.7503
Cs3 0.7631 0.5520 0.2497
Cs4 0.7631 0.9480 0.7497
Er1 0.5000 0.0000 0.0000
Er2 0.5000 0.5000 0.5000
In1 0.0000 0.0000 0.5000
In2 0.0000 0.5000 0.0000
Cl1 0.1953 0.1844 0.9642
Cl2 0.1953 0.3156 0.4642
Cl3 0.2805 0.7332 0.9622
Cl4 0.2805 0.7668 0.4622
Cl5 0.3445 0.0168 0.7733
Cl6 0.3445 0.4832 0.2733
Cl7 0.6555 0.5168 0.7267
Cl8 0.6555 0.9832 0.2267
Cl9 0.7195 0.2332 0.5378
Cl10 0.7195 0.2668 0.0378
Cl11 0.8047 0.6844 0.5358
Cl12 0.8047 0.8156 0.0358

Computed properties:
Uncorrected formation energy (meV/atom): -1935

Below is a geometry-optimized Mg2Cd3Ag3 structure, with properties calculated at the GGA-PBE level.

Cell lengths 4.3975, 4.4150, 8.0560 Å; angles 90.00, 90.00, 90.00 degrees
Fractional coordinates of all 8 atoms:
Mg1 0.0000 0.0000 0.2388
Mg2 0.0000 0.0000 0.7612
Cd1 0.0000 0.5000 0.5000
Cd2 0.5000 0.5000 0.2436
Cd3 0.5000 0.5000 0.7564
Ag1 0.0000 0.5000 0.0000
Ag2 0.5000 0.0000 0.0000
Ag3 0.5000 0.0000 0.5000

Computed properties:
ΔH_f (0 K) (eV/atom): -0.13

Below is a geometry-optimized CrTc2MoH structure, with properties calculated at the GGA-PBE level.

Cell lengths 3.8937, 3.8937, 3.9329 Å; angles 90.00, 90.00, 90.00 degrees
Fractional coordinates of all 5 atoms:
Cr1 0.0000 0.0000 0.0000
Tc1 0.0000 0.5000 0.5000
Tc2 0.5000 0.0000 0.5000
Mo1 0.5000 0.5000 0.0000
H1 0.5000 0.5000 0.5000

Computed properties:
Energy above the most stable polymorph in this dataset (meV per atom): 51

Below is a geometry-optimized NaSrP2Pt4 structure, with properties calculated at the GGA-PBE level.

Cell lengths 4.1166, 4.1166, 10.1590 Å; angles 90.00, 90.00, 90.00 degrees
Fractional coordinates of all 8 atoms:
Na1 0.0000 0.0000 0.0000
Sr1 0.0000 0.0000 0.5000
P1 0.5000 0.5000 0.3303
P2 0.5000 0.5000 0.6697
Pt1 0.0000 0.5000 0.2302
Pt2 0.0000 0.5000 0.7698
Pt3 0.5000 0.0000 0.2302
Pt4 0.5000 0.0000 0.7698

Computed properties:
ΔH_f (0 K) (eV/atom): -0.59

Below is a geometry-optimized Ba2As3Pd12Pt structure, with properties calculated at the GGA-PBE level.

Cell lengths 8.0236, 8.0236, 8.0236 Å; angles 64.70, 64.70, 64.70 degrees
Fractional coordinates of all 18 atoms:
Ba1 0.1144 0.1144 0.1144
Ba2 0.8856 0.8856 0.8856
As1 0.0000 0.5000 0.5000
As2 0.5000 0.0000 0.5000
As3 0.5000 0.5000 0.0000
Pd1 0.1299 0.6218 0.6218
Pd2 0.1570 0.1570 0.5957
Pd3 0.1570 0.5957 0.1570
Pd4 0.3782 0.3782 0.8701
Pd5 0.3782 0.8701 0.3782
Pd6 0.4043 0.8430 0.8430
Pd7 0.5957 0.1570 0.1570
Pd8 0.6218 0.1299 0.6218
Pd9 0.6218 0.6218 0.1299
Pd10 0.8430 0.4043 0.8430
Pd11 0.8430 0.8430 0.4043
Pd12 0.8701 0.3782 0.3782
Pt1 0.5000 0.5000 0.5000

Computed properties:
ΔH_f (0 K) (eV/atom): -0.11

Below is a geometry-optimized YSbN2Cl structure, with properties calculated at the GGA-PBE level.

Cell lengths 4.0875, 4.0875, 6.0776 Å; angles 90.00, 90.00, 90.00 degrees
Fractional coordinates of all 5 atoms:
Y1 0.0000 0.0000 0.0000
Sb1 0.0000 0.0000 0.5000
N1 0.0000 0.5000 0.5000
N2 0.5000 0.0000 0.5000
Cl1 0.5000 0.5000 0.0000

Computed properties:
Uncorrected formation energy (meV/atom): 554

Below is a geometry-optimized PrEr8Tm5 structure, with properties calculated at the GGA-PBE level.

Cell lengths 8.3318, 8.3318, 8.3318 Å; angles 110.64, 110.64, 107.16 degrees
Fractional coordinates of all 14 atoms:
Pr1 0.0000 0.0000 0.0000
Er1 0.0251 0.7648 0.5997
Er2 0.0742 0.3407 0.9179
Er3 0.1651 0.4254 0.4003
Er4 0.2352 0.8349 0.2603
Er5 0.4227 0.1563 0.0821
Er6 0.5746 0.9749 0.7397
Er7 0.6593 0.5773 0.7336
Er8 0.8437 0.9258 0.2664
Tm1 0.3098 0.2155 0.6811
Tm2 0.3713 0.6902 0.9057
Tm3 0.5344 0.6287 0.3189
Tm4 0.7500 0.2500 0.5000
Tm5 0.7845 0.4656 0.0943

Computed properties:
ΔH_f (0 K) (eV/atom): 0.25

Below is a geometry-optimized Ca2ScMo structure, with properties calculated at the GGA-PBE level.

Cell lengths 5.9280, 5.9280, 5.6026 Å; angles 101.06, 101.06, 31.47 degrees
Fractional coordinates of all 4 atoms:
Ca1 0.2308 0.2308 0.2313
Ca2 0.7692 0.7692 0.7687
Sc1 0.0000 0.0000 0.5000
Mo1 0.5000 0.5000 0.0000

Computed properties:
ΔH_f (0 K) (eV/atom): 0.65
Energy above the most stable polymorph in this dataset (meV per atom): 310